Below is a relaxed structure of RbNa4Ag3F12, with properties calculated at the PBE level.

CIF file:
```
data_RbNa4Ag3F12
_cell_length_a 8.480
_cell_length_b 8.480
_cell_length_c 8.480
_cell_angle_alpha 90.00
_cell_angle_beta 90.00
_cell_angle_gamma 90.00
_symmetry_space_group_name_H-M 'I m -3'
_symmetry_Int_Tables_number 204
_symmetry_space_group_name_Hall '-I 2 2 3'
loop_
_atom_site_label
_atom_site_type_symbol
_atom_site_fract_x
_atom_site_fract_y
_atom_site_fract_z
Rb1 Rb 0.000 0.000 0.000
Na1 Na 0.250 0.250 0.250
Ag1 Ag 0.000 0.000 0.500
F1 F 0.000 0.167 0.323
```

Energy relative to the elements, uncorrected in eV per atom: -1.98
Total moment in μB/f.u.: 2.01

Below is a relaxed structure of Na2AgRhF8, with properties calculated at the PBE level.

CIF file:
```
data_Na2AgRhF8
_cell_length_a 5.021
_cell_length_b 7.045
_cell_length_c 5.051
_cell_angle_alpha 90.00
_cell_angle_beta 93.16
_cell_angle_gamma 90.00
_symmetry_space_group_name_H-M 'P 1 2/m 1'
_symmetry_Int_Tables_number 10
loop_
_symmetry_equiv_pos_as_xyz
'x,y,z'
'-x,-y,-z'
'-x,y,-z'
'x,-y,z'
loop_
_atom_site_label
_atom_site_type_symbol
_atom_site_fract_x
_atom_site_fract_y
_atom_site_fract_z
Na1 Na 0.000 0.250 0.000
Ag1 Ag 0.500 0.000 0.500
Rh1 Rh 0.500 0.500 0.500
F1 F 0.206 0.000 0.207
F2 F 0.218 0.500 0.220
F3 F 0.322 0.293 0.678
```

Energy relative to the elements, uncorrected in eV per atom: -1.89
Total moment in μB/f.u.: 1.41

Below is a relaxed structure of NaAgRhF6, with properties calculated at the PBE level.

CIF file:
```
data_NaAgRhF6
_cell_length_a 5.111
_cell_length_b 5.111
_cell_length_c 10.363
_cell_angle_alpha 90.00
_cell_angle_beta 90.00
_cell_angle_gamma 90.00
_symmetry_space_group_name_H-M 'P 42 n m'
_symmetry_Int_Tables_number 102
loop_
_symmetry_equiv_pos_as_xyz
'x,y,z'
'-y+1/2,x+1/2,z+1/2'
'-x,-y,z'
'y+1/2,-x+1/2,z+1/2'
'-x+1/2,y+1/2,z+1/2'
'y,x,z'
'x+1/2,-y+1/2,z+1/2'
'-y,-x,z'
loop_
_atom_site_label
_atom_site_type_symbol
_atom_site_fract_x
_atom_site_fract_y
_atom_site_fract_z
Na1 Na 0.000 0.000 0.000
Ag1 Ag 0.000 0.000 0.327
Rh1 Rh 0.000 0.000 0.666
F1 F 0.181 0.181 0.810
F2 F 0.183 0.183 0.525
F3 F 0.228 0.228 0.162
```

Energy relative to the elements, uncorrected in eV per atom: -1.75
Total moment in μB/f.u.: 1.06

Below is a relaxed structure of Na2AgRuF6, with properties calculated at the PBE level.

CIF file:
```
data_Na2AgRuF6
_cell_length_a 8.707
_cell_length_b 8.707
_cell_length_c 8.707
_cell_angle_alpha 90.00
_cell_angle_beta 90.00
_cell_angle_gamma 90.00
_symmetry_space_group_name_H-M 'F m -3 m'
_symmetry_Int_Tables_number 225
_symmetry_space_group_name_Hall '-F 4 2 3'
loop_
_atom_site_label
_atom_site_type_symbol
_atom_site_fract_x
_atom_site_fract_y
_atom_site_fract_z
Na1 Na 0.250 0.250 0.250
Ag1 Ag 0.000 0.000 0.000
Ru1 Ru 0.000 0.000 0.500
F1 F 0.000 0.000 0.268
```

Energy relative to the elements, uncorrected in eV per atom: -1.80
Total moment in μB/f.u.: 1.00

Below is a relaxed structure of NaAg2RuF8, with properties calculated at the PBE level.

CIF file:
```
data_NaAg2RuF8
_cell_length_a 5.006
_cell_length_b 7.140
_cell_length_c 5.436
_cell_angle_alpha 90.00
_cell_angle_beta 95.03
_cell_angle_gamma 90.00
_symmetry_space_group_name_H-M 'P 1 2/m 1'
_symmetry_Int_Tables_number 10
loop_
_symmetry_equiv_pos_as_xyz
'x,y,z'
'-x,-y,-z'
'-x,y,-z'
'x,-y,z'
loop_
_atom_site_label
_atom_site_type_symbol
_atom_site_fract_x
_atom_site_fract_y
_atom_site_fract_z
Na1 Na 0.000 0.000 0.000
Ag1 Ag 0.500 0.245 0.500
Ru1 Ru 0.000 0.500 0.000
F1 F 0.190 0.305 0.843
F2 F 0.272 0.500 0.284
F3 F 0.302 0.000 0.306
```

Energy relative to the elements, uncorrected in eV per atom: -1.67
Total moment in μB/f.u.: 2.64

Below is a relaxed structure of Na2AgRuF8, with properties calculated at the PBE level.

CIF file:
```
data_Na2AgRuF8
_cell_length_a 5.029
_cell_length_b 7.290
_cell_length_c 5.041
_cell_angle_alpha 90.00
_cell_angle_beta 92.34
_cell_angle_gamma 90.00
_symmetry_space_group_name_H-M 'P 1 2/m 1'
_symmetry_Int_Tables_number 10
loop_
_symmetry_equiv_pos_as_xyz
'x,y,z'
'-x,-y,-z'
'-x,y,-z'
'x,-y,z'
loop_
_atom_site_label
_atom_site_type_symbol
_atom_site_fract_x
_atom_site_fract_y
_atom_site_fract_z
Na1 Na 0.000 0.238 0.000
Ag1 Ag 0.500 0.000 0.500
Ru1 Ru 0.500 0.500 0.500
F1 F 0.201 0.000 0.206
F2 F 0.222 0.500 0.229
F3 F 0.321 0.305 0.684
```

Energy relative to the elements, uncorrected in eV per atom: -2.00
Total moment in μB/f.u.: 2.99